The following is a PBE calculation of a geometry-optimized La4Pm5Tl4 structure, from the Alexandria database.

```
La4Pm5Tl4
1.0
-6.319 6.319 2.659
6.319 -6.319 2.659
6.319 6.319 -2.659
La Pm Tl
4 5 4
direct
0.095 0.620 0.715
0.380 0.095 0.476
0.620 0.905 0.524
0.905 0.380 0.285
0.000 0.000 0.000
0.312 0.402 0.715
0.402 0.688 0.090
0.598 0.312 0.910
0.688 0.598 0.285
0.113 0.228 0.341
0.228 0.887 0.114
0.772 0.113 0.886
0.887 0.772 0.659
```

Computed properties:
**DFT total energy**: -4.325 eV/atom
**DFT formation energy**: -253 meV/atom
**SG**: I4/m, No. 87
**Volume**: 32.7 Å³ per atom